AgPtAu2 after structural relaxation, computed with PBE-GGA.

Structure (POSCAR):
```
AgPtAu2
1.0
-1.478 2.432 4.865
1.478 -2.432 4.865
1.478 2.432 -4.865
Ag Pt Au
1 1 2
Direct
0.000 0.000 0.000
0.500 0.500 0.000
0.255 0.755 0.500
0.745 0.245 0.500
```

Summary:
Crystal system: orthorhombic
ρ (g/cm3): 16.541
Total magnetization (μB/cell): 0.0
Fermi-level density of states (states/eV/atom): 0.40
Energy of formation (eV/atom): 0.052
Energy relative to the lowest polymorph listed for this composition (meV/atom): 68.7
Space group: Immm (71)



AgPtAu after structural relaxation, computed with PBE-GGA.

Structure (POSCAR):
```
AgPtAu
1.0
-2.628 2.772 3.773
2.628 -2.772 3.773
2.628 2.772 -3.773
Ag Pt Au
2 2 2
Direct
0.125 0.375 0.750
0.375 0.125 0.250
0.702 0.250 0.952
0.798 0.750 0.548
0.250 0.699 0.449
0.750 0.801 0.051
```

Summary:
Crystal system: orthorhombic
ρ (g/cm3): 15.094
Total magnetization (μB/cell): 0.0
Fermi-level density of states (states/eV/atom): 0.39
Energy of formation (eV/atom): 0.089
Energy relative to the lowest polymorph listed for this composition (meV/atom): 98.0
Space group: I2_12_12_1 (24)



AgPtAu3 after structural relaxation, computed with PBE-GGA.

Structure (POSCAR):
```
AgPtAu3
1.0
4.979 0.000 0.000
0.000 4.979 0.000
0.000 0.000 4.979
Ag Pt Au
1 1 3
Direct
0.000 0.000 0.000
0.500 0.500 0.500
0.000 0.000 0.500
0.000 0.500 0.000
0.500 0.000 0.000
```

Summary:
Crystal system: cubic
ρ (g/cm3): 12.022
Total magnetization (μB/cell): 0.0
Fermi-level density of states (states/eV/atom): 0.38
Energy of formation (eV/atom): 1.225
Energy relative to the lowest polymorph listed for this composition (meV/atom): 1220.7
Space group: Pm-3m (221)



AgPtAu2 after structural relaxation, computed with PBE-GGA.

Structure (POSCAR):
```
AgPtAu2
1.0
2.878 0.000 0.000
0.000 4.837 0.000
0.000 0.000 4.967
Ag Pt Au
1 1 2
Direct
0.000 0.000 0.000
0.000 0.500 0.351
0.500 0.000 0.493
0.500 0.500 0.849
```

Summary:
Crystal system: orthorhombic
ρ (g/cm3): 16.735
Total magnetization (μB/cell): 0.0
Fermi-level density of states (states/eV/atom): 0.64
Energy of formation (eV/atom): 0.006
Energy relative to the lowest polymorph listed for this composition (meV/atom): 22.7
Space group: Pmm2 (25)



Ag15Pt2Au2 after structural relaxation, computed with PBE-GGA.

Structure (POSCAR):
```
Ag15Pt2Au2
1.0
4.694 2.710 4.807
-4.694 2.710 4.807
0.000 -5.421 4.807
Ag Pt Au
15 2 2
Direct
0.000 0.000 0.500
0.000 0.304 0.696
0.000 0.500 0.000
0.000 0.696 0.304
0.152 0.649 0.649
0.304 0.000 0.696
0.304 0.696 0.000
0.351 0.351 0.848
0.351 0.848 0.351
0.500 0.000 0.000
0.649 0.152 0.649
0.649 0.649 0.152
0.696 0.000 0.304
0.696 0.304 0.000
0.848 0.351 0.351
0.093 0.093 0.093
0.907 0.907 0.907
0.287 0.287 0.287
0.713 0.713 0.713
```

Summary:
Crystal system: trigonal
ρ (g/cm3): 10.871
Total magnetization (μB/cell): 0.0
Fermi-level density of states (states/eV/atom): 0.29
Energy of formation (eV/atom): 0.194
Space group: R-3m (166)



Ag4PtAu7 after structural relaxation, computed with PBE-GGA.

Structure (POSCAR):
```
Ag4PtAu7
1.0
5.208 -2.572 0.000
5.208 2.572 0.000
-5.081 0.000 8.778
Ag Pt Au
4 1 7
Direct
0.159 0.159 0.118
0.314 0.314 0.727
0.686 0.686 0.273
0.841 0.841 0.882
0.000 0.000 0.500
0.086 0.086 0.808
0.211 0.211 0.415
0.387 0.387 0.041
0.500 0.500 0.500
0.613 0.613 0.959
0.789 0.789 0.585
0.914 0.914 0.192
```

Summary:
Crystal system: monoclinic
ρ (g/cm3): 14.162
Total magnetization (μB/cell): 0.0
Fermi-level density of states (states/eV/atom): 0.26
Energy of formation (eV/atom): 0.133
Energy relative to the lowest polymorph listed for this composition (meV/atom): 156.7
Space group: C2/m (12)



Repeat the sixth record exactly.
Ag4PtAu7 after structural relaxation, computed with PBE-GGA.

Structure (POSCAR):
```
Ag4PtAu7
1.0
5.208 -2.572 0.000
5.208 2.572 0.000
-5.081 0.000 8.778
Ag Pt Au
4 1 7
Direct
0.159 0.159 0.118
0.314 0.314 0.727
0.686 0.686 0.273
0.841 0.841 0.882
0.000 0.000 0.500
0.086 0.086 0.808
0.211 0.211 0.415
0.387 0.387 0.041
0.500 0.500 0.500
0.613 0.613 0.959
0.789 0.789 0.585
0.914 0.914 0.192
```

Summary:
Crystal system: monoclinic
ρ (g/cm3): 14.162
Total magnetization (μB/cell): 0.0
Fermi-level density of states (states/eV/atom): 0.26
Energy of formation (eV/atom): 0.133
Energy relative to the lowest polymorph listed for this composition (meV/atom): 156.7
Space group: C2/m (12)



Q: Which formula does entry 4 have?
A: AgPtAu2



Q: Look up the Fermi-level density of states of the sixth one.
A: 0.26 states/eV/atom